Here is TlSe2S8 after structural relaxation from Alexandria. Energies are from PBE-GGA.

Lattice parameters (Å, degrees): 11.1641 9.1293 6.7457 132.58 124.41 90.00
Fractional coordinates of all 11 atoms:
S  0.4096  0.3132  0.0062
S  0.9707  0.6360  0.2721
S  0.0293  0.3640  0.7279
S  0.5904  0.6868  0.9938
S  0.7914  0.2530  0.5059
S  0.5904  0.3070  0.9938
S  0.2086  0.7470  0.4941
S  0.4096  0.6930  0.0062
Se  0.5121  0.7183  0.4366
Se  0.4879  0.2817  0.5634
Tl  0.0000  0.0000  0.0000

Results
DFT total energy: -3.77 eV per atom
raw formation energy: 0.081 eV/atom